Record 1
Material: ZnFePt
Method: DFT, meta-GGA SCAN
State: single point on PBEsol structure

Cell lengths 4.0147, 4.0147, 4.0147 Å; angles 60.00, 60.00, 60.00 degrees
Closest atoms and distances in Å follow each position.
Fractional coordinates of all 3 atoms:
Fe 0.0000 0.0000 0.0000  4 Zn 2.46
Zn 0.2500 0.2500 0.2500  4 Fe 2.46, 4 Pt 2.46
Pt 0.5000 0.5000 0.5000  4 Zn 2.46

The formation energy comes out at 0.010 eV/atom. The total energy comes out at -101.81 eV per cell.

---

Record 2
Material: Li2MgRe
Method: DFT, meta-GGA SCAN
State: single point on PBEsol structure

Cell lengths 4.3559, 4.3559, 4.3559 Å; angles 60.00, 60.00, 60.00 degrees
Closest atoms and distances in Å follow each position.
Fractional coordinates of all 4 atoms:
Li 0.2500 0.2500 0.2500  4 Mg 2.67, 4 Re 2.67
Mg 0.0000 0.0000 0.0000  8 Li 2.67
Re 0.5000 0.5000 0.5000  8 Li 2.67
Li 0.7500 0.7500 0.7500  4 Re 2.67, 4 Mg 2.67

The formation energy comes out at 0.731 eV/atom. The total energy comes out at -77.93 eV per cell.